First-principles (PBE) data for a geometry-optimized K2Pu2CuSe6 structure, as listed in Alexandria via LeMat-Bulk.

Lattice parameters (Å, degrees): 6.8590 12.5747 8.2069 90.00 106.43 90.00
Last column: nearest neighbours and their distance in Å.
Space group C2/m (No. 12)
Inequivalent atoms, fractional coordinates:
K (0.0000, 0.1590, 0.0000)  6 Se 3.31-3.37
Pu (0.0000, 0.3357, 0.5000)  6 Se 2.77-2.84
Cu (0.0000, 0.0000, 0.5000)  2 Se 2.50
Se (0.2341, 0.1732, 0.6985)  2 Pu 2.77-2.81, 1 Cu 2.91
Se (0.2422, 0.0000, 0.3220)  1 Cu 2.50

Calculated values
- total magnetization (μB per atom) = 0.63
- final energy (eV/atom) = -6.1033
- raw formation energy (eV per atom) = -1.02